Entry 1:
DFT (PBE) results for a geometry-optimized CuAg2I structure.

## Properties
Polymorph energy (0 for the lowest one): 0.060 eV/atom
Uncorrected formation energy: 0.4942 eV/atom
Density of states at the Fermi level: 0.1 states/eV/cell
Total magnetic moment: 0.00 μB per atom
SG: Fm-3m (225)
Electronic total energy: -2.343 eV/atom

Cell lengths 4.9324, 4.9324, 4.9324 Å; angles 60.00, 60.00, 60.00 degrees
Fractional positions:
I (0.5000, 0.5000, 0.5000)
Cu (0.0000, 0.0000, 0.0000)
Ag (0.2500, 0.2500, 0.2500)
Ag (0.7500, 0.7500, 0.7500)



Entry 2:
DFT (PBE) results for a geometry-optimized Cu3Ag5I12 structure.

## Properties
Uncorrected formation energy: -0.0614 eV/atom
Density of states at the Fermi level: 37.3 states/eV/cell
Total magnetic moment: 0.00 μB per atom
SG: Ia-3d (230)
Electronic total energy: -2.319 eV/atom

Cell lengths 15.5706, 15.5706, 15.5706 Å; angles 109.47, 109.47, 109.47 degrees
Fractional positions:
Cu (0.7500, 0.3750, 0.1250)
Cu (0.8750, 0.7500, 0.1250)
Cu (0.3750, 0.7500, 0.6250)
Cu (0.2500, 0.1250, 0.3750)
Cu (0.8750, 0.1250, 0.2500)
Cu (0.3750, 0.6250, 0.2500)
Cu (0.6250, 0.3750, 0.7500)
Cu (0.1250, 0.8750, 0.7500)
Cu (0.7500, 0.8750, 0.6250)
Cu (0.6250, 0.2500, 0.3750)
Cu (0.1250, 0.2500, 0.8750)
Cu (0.2500, 0.6250, 0.8750)
Ag (0.1250, 0.3750, 0.2500)
Ag (0.0000, 0.5000, 0.0000)
Ag (0.0000, 0.0000, 0.0000)
Ag (0.3750, 0.2500, 0.1250)
Ag (0.5000, 0.0000, 0.5000)
Ag (0.5000, 0.5000, 0.0000)
Ag (0.1250, 0.7500, 0.3750)
Ag (0.7500, 0.1250, 0.8750)
Ag (0.7500, 0.6250, 0.3750)
Ag (0.3750, 0.1250, 0.7500)
Ag (0.6250, 0.8750, 0.2500)
Ag (0.5000, 0.5000, 0.5000)
Ag (0.5000, 0.0000, 0.0000)
Ag (0.0000, 0.0000, 0.5000)
Ag (0.2500, 0.3750, 0.6250)
Ag (0.2500, 0.8750, 0.1250)
Ag (0.0000, 0.5000, 0.5000)
Ag (0.8750, 0.2500, 0.6250)
Ag (0.6250, 0.7500, 0.8750)
Ag (0.8750, 0.6250, 0.7500)
I (0.6307, 0.1728, 0.9867)
I (0.3559, 0.4867, 0.3139)
I (0.0133, 0.3272, 0.3693)
I (0.4867, 0.1307, 0.1728)
I (0.4579, 0.6307, 0.6441)
I (0.0133, 0.6861, 0.1441)
I (0.3559, 0.8693, 0.5421)
I (0.1861, 0.0421, 0.1728)
I (0.6861, 0.0133, 0.6441)
I (0.6307, 0.4579, 0.1441)
I (0.8693, 0.5133, 0.3272)
I (0.8559, 0.8139, 0.9867)
I (0.1728, 0.6307, 0.4867)
I (0.3272, 0.3139, 0.9579)
I (0.9579, 0.8139, 0.3272)
I (0.5421, 0.1728, 0.6861)
I (0.9579, 0.1441, 0.1307)
I (0.5133, 0.6441, 0.1861)
I (0.8559, 0.0421, 0.3693)
I (0.1728, 0.5421, 0.1861)
I (0.3272, 0.0133, 0.8693)
I (0.6861, 0.6728, 0.5421)
I (0.8139, 0.8559, 0.4867)
I (0.8693, 0.3559, 0.0421)
I (0.3139, 0.3272, 0.4579)
I (0.1861, 0.1441, 0.5133)
I (0.1307, 0.6441, 0.9579)
I (0.1441, 0.9579, 0.6307)
I (0.6728, 0.9867, 0.1307)
I (0.8272, 0.4579, 0.8139)
I (0.4867, 0.3559, 0.8139)
I (0.4579, 0.8272, 0.3139)
I (0.0421, 0.8559, 0.8693)
I (0.0421, 0.1861, 0.6728)
I (0.8272, 0.3693, 0.5133)
I (0.1441, 0.1861, 0.0133)
I (0.6728, 0.6861, 0.0421)
I (0.3139, 0.9867, 0.3559)
I (0.3693, 0.5421, 0.8559)
I (0.1307, 0.4867, 0.6728)
I (0.8139, 0.9579, 0.8272)
I (0.6441, 0.1307, 0.4579)
I (0.5133, 0.8693, 0.8272)
I (0.9867, 0.3139, 0.8559)
I (0.5421, 0.3693, 0.3559)
I (0.9867, 0.6728, 0.6307)
I (0.6441, 0.5133, 0.6861)
I (0.3693, 0.8272, 0.0133)



Question: What is the uncorrected formation energy in the second record?
Answer: -0.0614 eV/atom